Record 1
Pr2GdBi after structural relaxation. Source: Alexandria via LeMat-Bulk, functional PBE.

Lattice parameters (Å, degrees): 4.1823 4.1823 10.1785 78.14 78.14 60.00
Last column: nearest neighbours and their distance in Å.
Sites, in units of the cell vectors:
1 Pr 0.7368 0.7368 0.7896  3 Bi 3.19
2 Pr 0.2632 0.2632 0.2104  3 Bi 3.19
3 Bi 0.0000 0.0000 0.0000  6 Pr 3.19
4 Gd 0.5000 0.5000 0.5000  6 Pr 3.75, 6 Gd 4.18

## Properties
crystal system	trigonal
offset from the most stable computed form	0.224	eV/atom
formation energy from the elements	-0.2025	eV/atom
D(E_F)	6.407	states/eV/cell
V	149.8	Å³/cell
energy	-7.083	eV per atom
SG	No. 166

Record 2
KRb3C2O6 after structural relaxation. Source: Alexandria via LeMat-Bulk, functional PBE.

Lattice parameters (Å, degrees): 5.9747 5.9747 7.2895 90.00 90.00 120.00
Last column: nearest neighbours and their distance in Å.
Sites, in units of the cell vectors:
1 O 0.5859 0.7929 0.2669  1 C 1.31
2 O 0.7929 0.5859 0.7331  1 C 1.31
3 O 0.2071 0.4141 0.2669  1 C 1.31
4 O 0.2071 0.7929 0.2669  1 C 1.31
5 O 0.7929 0.2071 0.7331  1 C 1.31
6 O 0.4141 0.2071 0.7331  1 C 1.31
7 Rb 0.3333 0.6667 0.7132  6 O 3.02, 1 C 3.26
8 Rb 0.6667 0.3333 0.2868  6 O 3.02, 1 C 3.26
9 Rb 0.0000 0.0000 0.0000  6 O 2.89
10 C 0.6667 0.3333 0.7343  3 O 1.31
11 C 0.3333 0.6667 0.2657  3 O 1.31
12 K 0.0000 0.0000 0.5000  6 O 2.73

## Properties
crystal system	trigonal
uncorrected formation energy	-1745	meV per atom
D(E_F)	0.000	states/eV/cell
V	225.3	Å³/cell
energy	-6.095	eV per atom
SG	No. 164

Record 3
Ho3In4Ag4 after structural relaxation. Source: Alexandria via LeMat-Bulk, functional PBE.

Lattice parameters (Å, degrees): 4.1588 7.9002 9.0840 115.78 103.23 90.00
Last column: nearest neighbours and their distance in Å.
Sites, in units of the cell vectors:
1 Ho 0.8837 0.8837 0.7675  6 Ag 3.13-3.14, 4 In 3.28
2 Ho 0.1163 0.1163 0.2325  6 Ag 3.13-3.14, 4 In 3.28
3 Ho 0.0000 0.5000 0.0000  4 Ag 3.25
4 Ag 0.5000 0.8162 0.0000  2 In 2.78, 1 Ag 2.90
5 Ag 0.7653 0.2653 0.5306  6 In 2.81-2.90, 2 Ho 3.14
6 Ag 0.5000 0.1838 0.0000  2 In 2.78, 1 Ag 2.90
7 Ag 0.2347 0.7347 0.4694  6 In 2.81-2.90, 2 Ho 3.14
8 In 0.3356 0.5288 0.6711  4 Ag 2.78-2.90, 1 In 3.05
9 In 0.6644 0.8576 0.3289  4 Ag 2.78-2.90, 1 In 3.05
10 In 0.6644 0.4712 0.3289  4 Ag 2.78-2.90, 1 In 3.05
11 In 0.3356 0.1424 0.6711  4 Ag 2.78-2.90, 1 In 3.05

## Properties
crystal system	orthorhombic
formation energy from the elements	-0.2653	eV/atom
D(E_F)	7.400	states/eV/cell
V	259.9	Å³/cell
energy	-3.546	eV per atom
SG	No. 71

Record 4
Sm5HoErTm2 after structural relaxation. Source: Alexandria via LeMat-Bulk, functional PBE.

Lattice parameters (Å, degrees): 5.5934 10.4397 10.6199 90.00 90.00 105.54
Last column: nearest neighbours and their distance in Å.
Sites, in units of the cell vectors:
1 Sm 0.3864 0.7729 0.0218  6 Sm 3.53-3.83, 4 Tm 3.58-3.63, 1 Ho 3.78
2 Sm 0.7196 0.4391 0.8113  1 Er 3.05, 1 Tm 3.35, 2 Sm 3.40
3 Sm 0.9833 0.9666 0.5190  2 Er 3.22, 3 Tm 3.43-3.53
4 Sm 0.0167 0.0334 0.0190  2 Er 3.22, 3 Tm 3.43-3.53
5 Sm 0.2804 0.5609 0.3113  1 Er 3.05, 1 Tm 3.35, 2 Sm 3.40
6 Sm 0.5181 0.0362 0.2422  2 Er 3.18-3.32, 2 Tm 3.48, 2 Sm 3.53-3.54
7 Sm 0.2989 0.5978 0.7073  4 Sm 3.40-3.78, 1 Er 3.44, 3 Tm 3.48-3.79, 3 Ho 3.49-3.80
8 Sm 0.4819 0.9638 0.7422  2 Er 3.18-3.32, 2 Tm 3.48, 2 Sm 3.53-3.54
9 Sm 0.7011 0.4022 0.2073  4 Sm 3.40-3.78, 1 Er 3.44, 3 Tm 3.48-3.79, 3 Ho 3.49-3.80
10 Sm 0.6136 0.2271 0.5218  6 Sm 3.53-3.83, 4 Tm 3.58-3.63, 1 Ho 3.78
11 Tm 0.8886 0.7773 0.2393  1 Ho 3.38, 6 Sm 3.48-3.63, 2 Er 3.68
12 Tm 0.1114 0.2227 0.7393  1 Ho 3.38, 6 Sm 3.48-3.63, 2 Er 3.68
13 Tm 0.8860 0.7719 0.8113  9 Sm 3.35-3.67, 1 Ho 3.62
14 Tm 0.1140 0.2281 0.3113  9 Sm 3.35-3.67, 1 Ho 3.62
15 Ho 0.1988 0.3976 0.0111  2 Tm 3.38-3.62, 7 Sm 3.49-3.78, 2 Er 3.59
16 Ho 0.8012 0.6024 0.5111  2 Tm 3.38-3.62, 7 Sm 3.49-3.78, 2 Er 3.59
17 Er 0.5903 0.1805 0.9606  5 Sm 3.05-3.32
18 Er 0.4097 0.8195 0.4606  5 Sm 3.05-3.32

## Properties
crystal system	orthorhombic
formation energy from the elements	0.1505	eV/atom
D(E_F)	29.211	states/eV/cell
V	597.5	Å³/cell
energy	-4.481	eV per atom
SG	No. 36